A plane-wave DFT calculation with PBE-GGA was carried out for a relaxed structure of Tm2MgCu12Ni3.

POSCAR file:
```
Tm2MgCu12Ni3
1.0
6.166 -1.294 -0.918
1.920 6.001 -0.918
1.920 1.118 5.967
Ni Cu Tm Mg
3 12 2 1
Direct
0.500 0.000 0.000
0.000 0.000 0.500
0.000 0.500 0.000
0.858 0.418 0.418
0.798 0.290 0.798
0.202 0.710 0.202
0.202 0.202 0.710
0.290 0.798 0.798
0.582 0.582 0.142
0.142 0.582 0.582
0.710 0.202 0.202
0.418 0.418 0.858
0.798 0.798 0.290
0.418 0.858 0.418
0.582 0.142 0.582
0.739 0.739 0.739
0.261 0.261 0.261
0.000 0.000 0.000
```

Output
magnetization: 0.000 Bohr magnetons per cell
total DFT energy (no corrections): -76.888 eV/cell
space-group type: No. 166
crystal system: trigonal
DFT formation energy: 0.0082 eV per atom